(1)
Here is a geometry-optimized MnICl3 structure from Alexandria. Energies are from PBE.

```
20
Lattice="11.500 0.000 0.000 0.000 5.701 0.000 -3.161 0.000 10.744" Properties=species:S:1:pos:R:3 pbc="T T T"
Mn 0.057 1.115 1.343
Mn -1.524 1.735 6.715
Mn 9.862 3.966 4.029
Mn 8.281 4.585 9.401
I 4.102 4.276 4.981
I 2.521 4.275 10.353
I 5.817 1.426 0.391
I 4.237 1.424 5.763
Cl -1.564 3.141 8.779
Cl 0.017 5.410 3.407
Cl -0.038 2.948 5.390
Cl 1.543 5.603 0.018
Cl 0.114 0.503 7.427
Cl 1.695 2.347 2.055
Cl 6.644 3.354 8.689
Cl 8.224 5.197 3.317
Cl 6.796 0.097 10.726
Cl 8.376 2.753 5.354
Cl 8.321 0.291 7.337
Cl 9.902 2.559 1.965
```

As for the total energy: -3.980 eV per atom. The total magnetic moment comes out at 16.0 Bohr magnetons per cell. The energy above the most stable polymorph in this dataset is 0 meV/atom. The density of states at the Fermi level is 0.179 states/eV per atom. The formation energy (no corrections) is -727.7 meV/atom. Its space group is P2_1/c.

(2)
Here is a geometry-optimized YbIr structure from Alexandria. Energies are from PBE.

```
2
Lattice="3.395 0.000 0.000 0.000 3.395 0.000 0.000 0.000 3.395" Properties=species:S:1:pos:R:3 pbc="T T T"
Yb 0.000 0.000 0.000
Ir 1.698 1.698 1.698
```

As for the total energy: -5.593 eV per atom. The total magnetic moment comes out at 0.4 Bohr magnetons per cell. The density of states at the Fermi level is 5.295 states/eV per atom. Its space group is Pm-3m.

(3)
Here is a geometry-optimized LiNd2Zn3Ni12 structure from Alexandria. Energies are from PBE.

```
18
Lattice="3.038 1.754 8.413 -3.038 1.754 8.413 0.000 -3.508 8.413" Properties=species:S:1:pos:R:3 pbc="T T T"
Li 0.000 0.000 0.000
Nd 0.000 0.000 8.583
Nd 0.000 0.000 16.655
Zn -3.038 0.000 12.619
Zn -1.519 0.877 4.206
Zn 1.519 0.877 4.206
Ni 0.000 -2.091 6.625
Ni -1.811 1.046 6.625
Ni -1.180 -0.681 11.254
Ni -1.811 -1.046 18.614
Ni 0.000 -1.363 13.984
Ni -1.180 0.681 13.984
Ni 1.180 -0.681 11.254
Ni 0.000 1.363 11.254
Ni 1.811 1.046 6.625
Ni 1.180 0.681 13.984
Ni 1.811 -1.046 18.614
Ni 0.000 2.091 18.614
```

As for the total energy: -4.563 eV per atom. The total magnetic moment comes out at 0.0 Bohr magnetons per cell. The density of states at the Fermi level is 0.866 states/eV per atom. Its space group is R-3m.

(4)
Here is a geometry-optimized AcSmRh structure from Alexandria. Energies are from PBE.

```
3
Lattice="-1.831 1.831 6.668 1.831 -1.831 6.668 1.831 1.831 -6.668" Properties=species:S:1:pos:R:3 pbc="T T T"
Ac 0.000 0.000 0.000
Sm 0.000 0.000 3.395
Rh 0.000 0.000 8.557
```

As for the total energy: -5.790 eV per atom. The total magnetic moment comes out at 0.0 Bohr magnetons per cell. The energy above the most stable polymorph in this dataset is 121 meV/atom. The density of states at the Fermi level is 1.068 states/eV per atom. Its space group is I4mm.

(5)
Here is a geometry-optimized LaTb2Al2 structure from Alexandria. Energies are from PBE.

```
10
Lattice="-2.260 2.260 14.153 2.260 -2.260 14.153 2.260 2.260 -14.153" Properties=species:S:1:pos:R:3 pbc="T T T"
La 0.000 0.000 3.630
La 0.000 0.000 24.676
Tb 2.260 0.000 7.076
Tb 0.000 0.000 12.152
Tb 0.000 0.000 16.154
Tb 0.000 2.260 7.076
Al 2.260 0.000 0.000
Al 0.000 0.000 9.210
Al 0.000 2.260 0.000
Al 0.000 0.000 19.096
```

As for the total energy: -4.389 eV per atom. The total magnetic moment comes out at 0.1 Bohr magnetons per cell. The energy above the most stable polymorph in this dataset is 221 meV/atom. The density of states at the Fermi level is 1.435 states/eV per atom. Its space group is I4/mmm.

(6)
Here is a geometry-optimized La2Nd2AlGe4 structure from Alexandria. Energies are from PBE.

```
9
Lattice="-3.587 3.587 4.501 3.587 -3.587 4.501 3.587 3.587 -4.501" Properties=species:S:1:pos:R:3 pbc="T T T"
La 3.587 0.000 2.251
La 0.000 3.587 2.251
Nd 0.000 0.000 1.674
Nd 0.000 0.000 7.329
Al 0.000 0.000 4.501
Ge 1.818 1.818 0.000
Ge 1.769 -1.769 4.501
Ge -1.769 1.769 4.501
Ge 1.769 1.769 4.501
```

As for the total energy: -5.004 eV per atom. The total magnetic moment comes out at 0.0 Bohr magnetons per cell. The density of states at the Fermi level is 0.637 states/eV per atom. Its space group is I4/mmm.

Repeat the second record exactly.
Here is a geometry-optimized YbIr structure from Alexandria. Energies are from PBE.

```
2
Lattice="3.395 0.000 0.000 0.000 3.395 0.000 0.000 0.000 3.395" Properties=species:S:1:pos:R:3 pbc="T T T"
Yb 0.000 0.000 0.000
Ir 1.698 1.698 1.698
```

As for the total energy: -5.593 eV per atom. The total magnetic moment comes out at 0.4 Bohr magnetons per cell. The density of states at the Fermi level is 5.295 states/eV per atom. Its space group is Pm-3m.